# TlCu2AuBr8

A relaxed structure of TlCu2AuBr8 (GGA-PBE, Alexandria).

Formation energy from raw total energies ... -3.16 eV per formula unit
DOS at the Fermi energy ... 0.7183 states/eV/atom
Energy ... -2.532 eV/atom
Total moment ... 0.0 μB per formula unit

Unit cell a=6.7924 b=6.7924 c=9.1849 alpha=90.00 beta=90.00 gamma=120.00
With the nearest neighbours (Å) after each atom.
Fractional coordinates of all 12 atoms:
1 Tl 0.0000 0.0000 0.0000  12 Br 3.65-3.92
2 Cu 0.6667 0.3333 0.2594  4 Br 2.34-2.40
3 Cu 0.3333 0.6667 0.7406  4 Br 2.34-2.40
4 Au 0.0000 0.0000 0.5000  6 Br 2.64
5 Br 0.3333 0.6667 0.9959  1 Cu 2.34
6 Br 0.3114 0.3057 0.3253  1 Cu 2.40, 1 Au 2.64
7 Br 0.6943 0.0057 0.3253  1 Cu 2.40, 1 Au 2.64
8 Br 0.6667 0.3333 0.0041  1 Cu 2.34
9 Br 0.3057 0.9943 0.6747  1 Cu 2.40, 1 Au 2.64
10 Br 0.6886 0.6943 0.6747  1 Cu 2.40, 1 Au 2.64
11 Br 0.0057 0.3114 0.6747  1 Cu 2.40, 1 Au 2.64
12 Br 0.9943 0.6886 0.3253  1 Cu 2.40, 1 Au 2.64